(A)
CdCoTe2I: relaxed, PBE.

POSCAR file:
```
CdCoTe2I
1.0
-3.0268 -2.6848 -3.0005
2.4224 -4.2127 1.3259
-3.5510 -0.7135 4.2206
Cd Te Co I
1 2 1 1
direct
0.5000 0.5000 0.5000
0.5000 0.0000 0.0000
0.0000 0.5000 0.0000
0.0000 0.0000 0.0000
0.0000 0.0000 0.5000
```

Results
D(E_F) (states/eV/f.u.): 6.5
Magnetic moment (μB per formula unit): 1.31
Theoretical density (g cm⁻³): 6.513

=====

(B)
CdCoTe2I: relaxed, PBE.

POSCAR file:
```
CdCoTe2I
1.0
5.5897 0.0000 0.0000
0.0000 5.5897 0.0000
0.0000 0.0000 5.8848
Te Cd Co I
2 1 1 1
direct
0.5000 0.0000 0.0000
0.0000 0.5000 0.0000
0.0000 0.0000 0.0000
0.5000 0.5000 0.5000
0.0000 0.0000 0.5000
```

Results
D(E_F) (states/eV/f.u.): 8.7
Magnetic moment (μB per formula unit): 3.06
Theoretical density (g cm⁻³): 4.998

=====

Referenced to the most stable arrangement, the calculated values in meV per atom are (A) 0; (B) 705.

=====

(A)
La2CdInCo: relaxed, PBE.

POSCAR file:
```
La2CdInCo
1.0
5.2438 0.0000 0.0000
0.0000 5.2438 0.0000
0.0000 0.0000 5.0455
In Cd Co La
1 1 1 2
direct
0.0000 0.0000 0.5000
0.5000 0.5000 0.5000
0.0000 0.0000 0.0000
0.0000 0.5000 0.0000
0.5000 0.0000 0.0000
```

Results
D(E_F) (states/eV/f.u.): 5.0
Magnetic moment (μB per formula unit): 0.00
Theoretical density (g cm⁻³): 6.750

=====

(B)
La2CdInCo: relaxed, PBE.

POSCAR file:
```
La2CdInCo
1.0
-5.0716 0.8118 0.7417
-0.9567 -1.5312 -4.8653
-0.5346 -4.8222 1.6228
La Cd In Co
2 1 1 1
direct
0.5000 0.0000 0.0000
0.0000 0.5000 0.0000
0.0000 0.0000 0.5000
0.5000 0.5000 0.5000
0.0000 0.0000 0.0000
```

Results
D(E_F) (states/eV/f.u.): 4.0
Magnetic moment (μB per formula unit): 0.00
Theoretical density (g cm⁻³): 6.797

=====

Referenced to the most stable arrangement, the calculated values in meV per atom are (A) 0; (B) 27.

=====

(A)
LaCdIn2Co: relaxed, PBE.

POSCAR file:
```
LaCdIn2Co
1.0
4.9310 0.0000 0.0000
0.0000 4.9310 0.0000
0.0000 0.0000 5.0117
La Co Cd In
1 1 1 2
direct
0.5000 0.5000 0.5000
0.0000 0.0000 0.0000
0.0000 0.0000 0.5000
0.5000 0.0000 0.0000
0.0000 0.5000 0.0000
```

Results
D(E_F) (states/eV/f.u.): 2.5
Magnetic moment (μB per formula unit): 0.00
Theoretical density (g cm⁻³): 7.357

=====

(B)
LaCdIn2Co: relaxed, PBE.

POSCAR file:
```
LaCdIn2Co
1.0
5.0650 0.0000 0.0000
0.0000 5.0650 0.0000
0.0000 0.0000 5.0092
Co La Cd In
1 1 1 2
direct
0.0000 0.0000 0.0000
0.0000 0.0000 0.5000
0.5000 0.5000 0.5000
0.5000 0.0000 0.0000
0.0000 0.5000 0.0000
```

Results
D(E_F) (states/eV/f.u.): 2.4
Magnetic moment (μB per formula unit): 0.00
Theoretical density (g cm⁻³): 6.976

=====

Referenced to the most stable arrangement, the calculated values in meV per atom are (A) 76; (B) 0.

=====

(A)
SrCdInCoP: relaxed, PBE.

POSCAR file:
```
SrCdInCoP
1.0
-0.0953 2.7886 -2.6595
-1.6662 -3.4019 -0.7138
-7.6382 3.0193 3.4396
P In Co Sr Cd
1 1 1 1 1
direct
0.3333 0.6667 0.8454
0.0000 0.0000 0.0628
0.6667 0.3333 0.8724
0.0000 0.0000 0.6044
0.6667 0.3333 0.3072
```

Results
D(E_F) (states/eV/f.u.): 4.9
Magnetic moment (μB per formula unit): 0.00
Theoretical density (g cm⁻³): 5.866

=====

(B)
SrCdInCoP: relaxed, PBE.

POSCAR file:
```
SrCdInCoP
1.0
-1.5730 1.0893 3.2054
-4.0407 -2.5442 1.0094
3.0880 -4.5039 5.2100
In P Co Sr Cd
1 1 1 1 1
direct
0.2744 0.3084 0.0743
0.2210 0.7038 0.7963
0.6180 0.7839 0.9245
0.0155 0.2938 0.6069
0.4681 0.7168 0.2901
```

Results
D(E_F) (states/eV/f.u.): 1.7
Magnetic moment (μB per formula unit): 0.00
Theoretical density (g cm⁻³): 5.440

=====

Referenced to the most stable arrangement, the calculated values in meV per atom are (A) 0; (B) 96.

=====

(A)
SrCdInCoP: relaxed, PBE.

POSCAR file:
```
SrCdInCoP
1.0
-2.4703 1.8215 3.6349
-2.5220 -2.4128 -0.5050
3.0175 -3.9578 3.8403
Sr In Cd P Co
1 1 1 1 1
direct
0.7176 0.5000 0.5854
0.7052 0.0000 0.0635
0.2176 0.0000 0.3181
0.2391 0.0000 0.7637
0.1587 0.5000 0.9614
```

Results
D(E_F) (states/eV/f.u.): 3.0
Magnetic moment (μB per formula unit): 0.00
Theoretical density (g cm⁻³): 6.374

=====

(B)
SrCdInCoP: relaxed, PBE.

POSCAR file:
```
SrCdInCoP
1.0
-2.3903 -2.8826 0.9353
3.4225 -0.7754 -1.6071
11.0318 -1.3191 24.1293
P In Cd Sr Co
3 3 3 3 3
direct
0.3333 0.6667 0.0436
0.6667 0.3333 0.7102
0.0000 0.0000 0.3769
0.3333 0.6667 0.4494
0.6667 0.3333 0.1161
0.0000 0.0000 0.7827
0.0000 0.0000 0.1975
0.3333 0.6667 0.8641
0.6667 0.3333 0.5308
0.3333 0.6667 0.2969
0.6667 0.3333 0.9636
0.0000 0.0000 0.6302
0.0000 0.0000 0.0533
0.3333 0.6667 0.7200
0.6667 0.3333 0.3866
```

Results
D(E_F) (states/eV/f.u.): 3.7
Magnetic moment (μB per formula unit): 0.00
Theoretical density (g cm⁻³): 5.883

=====

Referenced to the most stable arrangement, the calculated values in meV per atom are (A) 69; (B) 0.

=====

(A)
Cd2CoIr: relaxed, PBE.

POSCAR file:
```
Cd2CoIr
1.0
-0.2934 4.1090 1.8890
-3.3679 -1.4619 2.6568
2.1310 -0.8697 2.2228
Ir Cd Co
1 2 1
direct
0.0000 0.5000 0.5000
0.5000 0.5000 0.0000
0.0000 0.0000 0.0000
0.5000 0.0000 0.5000
```

Results
D(E_F) (states/eV/f.u.): 6.9
Magnetic moment (μB per formula unit): 1.40
Theoretical density (g cm⁻³): 12.027

=====

(B)
Cd2CoIr: relaxed, PBE.

POSCAR file:
```
Cd2CoIr
1.0
7.3359 0.0000 0.0000
0.0000 7.3359 0.0000
3.6680 3.6680 2.6648
Cd Co Ir
4 2 2
direct
0.3750 0.3881 0.7500
0.1381 0.6250 0.2500
0.6119 0.1250 0.2500
0.8750 0.8619 0.7500
0.5000 0.5000 0.0000
0.2500 0.7500 0.5000
0.7500 0.2500 0.5000
0.0000 0.0000 0.0000
```

Results
D(E_F) (states/eV/f.u.): 5.3
Magnetic moment (μB per formula unit): 1.99
Theoretical density (g cm⁻³): 11.023

=====

(C)
Cd2CoIr: relaxed, PBE.

POSCAR file:
```
Cd2CoIr
1.0
4.8852 -0.0038 0.0000
-1.6929 4.5825 0.0000
0.0000 0.0000 2.9492
Co Cd Ir
1 2 1
direct
0.5000 0.0000 0.5000
0.0000 0.0000 0.0000
0.5000 0.5000 0.0000
0.0000 0.5000 0.5000
```

Results
D(E_F) (states/eV/f.u.): 5.5
Magnetic moment (μB per formula unit): 1.90
Theoretical density (g cm⁻³): 11.975

=====

(D)
Cd2CoIr: relaxed, PBE.

POSCAR file:
```
Cd2CoIr
1.0
4.8426 0.0003 0.0000
1.3462 4.6517 0.0000
-3.0944 -2.3260 2.9095
Co Ir Cd
1 1 2
direct
0.5000 0.5000 0.0000
0.7500 0.2500 0.5000
0.0000 0.0000 0.0000
0.2500 0.7500 0.5000
```

Results
D(E_F) (states/eV/f.u.): 4.9
Magnetic moment (μB per formula unit): 2.12
Theoretical density (g cm⁻³): 12.060

=====

Referenced to the most stable arrangement, the calculated values in meV per atom are (A) 43; (B) 351; (C) 19; (D) 0.

=====

(A)
Cd2CoIr: relaxed, PBE.

POSCAR file:
```
Cd2CoIr
1.0
-9.0185 -3.4548 0.5293
-8.2419 -3.8861 3.2431
-9.2630 -1.3441 2.4370
Ir Cd Co
1 2 1
direct
0.7595 0.7595 0.7595
0.0076 0.0076 0.0076
0.2397 0.2397 0.2397
0.4932 0.4932 0.4932
```

Results
D(E_F) (states/eV/f.u.): 4.3
Magnetic moment (μB per formula unit): 2.19
Theoretical density (g cm⁻³): 11.744

=====

(B)
Cd2CoIr: relaxed, PBE.

POSCAR file:
```
Cd2CoIr
1.0
-1.3993 -0.5621 -2.3685
2.7981 0.1634 -0.1665
0.6631 -9.4638 1.8543
Cd Co Ir
2 1 1
direct
0.5000 0.5000 0.2770
0.0000 0.0000 0.9811
0.0000 0.0000 0.5170
0.5000 0.5000 0.7248
```

Results
D(E_F) (states/eV/f.u.): 3.9
Magnetic moment (μB per formula unit): 2.19
Theoretical density (g cm⁻³): 11.669

=====

Referenced to the most stable arrangement, the calculated values in meV per atom are (A) 0; (B) 109.

=====

(A)
Cd2CoIr: relaxed, PBE.

POSCAR file:
```
Cd2CoIr
1.0
4.9600 0.0208 0.0000
1.6824 4.6660 0.0000
-3.3212 -2.3434 2.8426
Co Cd Ir
1 2 1
direct
0.2500 0.7500 0.5000
0.5000 0.5000 0.0000
0.0000 0.0000 0.0000
0.7500 0.2500 0.5000
```

Results
D(E_F) (states/eV/f.u.): 6.2
Magnetic moment (μB per formula unit): 1.91
Theoretical density (g cm⁻³): 12.032

=====

(B)
Cd2CoIr: relaxed, PBE.

POSCAR file:
```
Cd2CoIr
1.0
-4.2241 3.2661 0.4083
-5.0391 1.1790 -1.3766
-3.1374 -1.6208 3.3278
Ir Co Cd
1 1 2
direct
0.7788 0.7788 0.7785
0.4751 0.4751 0.4647
0.0166 0.0166 0.9443
0.2294 0.2294 0.3124
```

Results
D(E_F) (states/eV/f.u.): 4.9
Magnetic moment (μB per formula unit): 1.30
Theoretical density (g cm⁻³): 11.873

=====

Referenced to the most stable arrangement, the calculated values in meV per atom are (A) 79; (B) 0.